# NiHSe2 | Alexandria | GGA-PBE | relaxed
data_NiHSe2
_space_group_name_H-M_alt 'C m c m'
_space_group_IT_number 63
_space_group_name_Hall '-C 2c 2'
_cell_length_a 3.528
_cell_length_b 15.795
_cell_length_c 4.611
_cell_angle_alpha 90.00
_cell_angle_beta 90.00
_cell_angle_gamma 90.00
loop_
_atom_site_label
_atom_site_type_symbol
_atom_site_fract_x
_atom_site_fract_y
_atom_site_fract_z
Ni1 Ni 0.000 0.083 0.250
H1 H 0.000 0.337 0.250
Se1 Se 0.000 0.064 0.750
Se2 Se 0.000 0.237 0.250
# DOS(E_F)   0.53 states/eV/atom
# Total magnetic moment   0.00 μB per formula unit
# ρ   5.63 g/cm3
# E   -3.780 eV/atom

# BIrPt3 | Alexandria | GGA-PBE | relaxed
data_BIrPt3
_space_group_name_H-M_alt 'P m -3 m'
_space_group_IT_number 221
_space_group_name_Hall '-P 4 2 3'
_cell_length_a 4.854
_cell_length_b 4.854
_cell_length_c 4.854
_cell_angle_alpha 90.00
_cell_angle_beta 90.00
_cell_angle_gamma 90.00
loop_
_atom_site_label
_atom_site_type_symbol
_atom_site_fract_x
_atom_site_fract_y
_atom_site_fract_z
B1 B 0.000 0.000 0.000
Ir1 Ir 0.500 0.500 0.500
Pt1 Pt 0.000 0.500 0.500
# DOS(E_F)   1.95 states/eV/atom
# Total magnetic moment   0.00 μB per formula unit
# ρ   11.45 g/cm3
# E   -4.590 eV/atom

# Tb9Sm4Dy11 | Alexandria | GGA-PBE | relaxed
data_Tb9Sm4Dy11
_space_group_name_H-M_alt 'C m m m'
_space_group_IT_number 65
_space_group_name_Hall '-C 2 2'
_cell_length_a 16.717
_cell_length_b 25.162
_cell_length_c 3.685
_cell_angle_alpha 90.00
_cell_angle_beta 90.00
_cell_angle_gamma 90.00
loop_
_atom_site_label
_atom_site_type_symbol
_atom_site_fract_x
_atom_site_fract_y
_atom_site_fract_z
Tb1 Tb 0.000 0.000 0.000
Tb2 Tb 0.102 0.235 0.000
Tb3 Tb 0.140 0.427 0.000
Sm1 Sm 0.155 0.101 0.000
Dy1 Dy 0.000 0.134 0.500
Dy2 Dy 0.000 0.341 0.500
Dy3 Dy 0.000 0.500 0.500
Dy4 Dy 0.211 0.000 0.500
Dy5 Dy 0.226 0.319 0.500
# DOS(E_F)   1.26 states/eV/atom
# Total magnetic moment   0.00 μB per formula unit
# ρ   8.18 g/cm3
# E   -4.577 eV/atom